First-principles (PBE) data for an optimized crystal structure of Y3Ga2Cu3, as listed in the Alexandria database.

The structure in CIF format:
```
data_Y3Ga2Cu3
_space_group_name_H-M_alt 'P n m a'
_space_group_IT_number 62
_cell_length_a 7.3692
_cell_length_b 14.9737
_cell_length_c 5.8456
_cell_angle_alpha 90.00
_cell_angle_beta 90.00
_cell_angle_gamma 90.00
loop_
_space_group_symop_operation_xyz
'x,y,z'
'-x,-y,-z'
'-x+1/2,-y,z+1/2'
'x+1/2,y,-z+1/2'
'x+1/2,-y+1/2,-z+1/2'
'-x+1/2,y+1/2,z+1/2'
'-x,y+1/2,-z'
'x,-y+1/2,z'
loop_
_atom_site_label
_atom_site_fract_x
_atom_site_fract_y
_atom_site_fract_z
Y1 0.0178 0.1078 0.1458
Y2 0.1619 0.2500 0.6182
Ga1 0.1285 0.6046 0.3536
Cu1 0.1731 0.0339 0.5791
Cu2 0.2026 0.7500 0.6174
```

Output
E_form: -410 meV/atom
Total energy: -5.13 eV per atom
Theoretical density: 6.1 g cm⁻³
Total magnetic moment: 0.0000 μB/atom